Record 1
LiY2Cl | PBE-GGA | optimized geometry

Unit cell a=5.200 b=5.200 c=5.200 alpha=60.00 beta=60.00 gamma=60.00
Sites, in units of the cell vectors:
Cl: 0.500 0.500 0.500
Y: 0.250 0.250 0.250
Y: 0.750 0.750 0.750
Li: 0.000 0.000 0.000

Computed properties:
DFT total energy   -4.383 eV/atom
Crystal system   cubic

---

Record 2
BaAc3S4 | PBE-GGA | optimized geometry

Unit cell a=6.157 b=6.157 c=6.157 alpha=90.00 beta=90.00 gamma=90.00
Sites, in units of the cell vectors:
Ac: 0.500 0.500 0.000
Ac: 0.000 0.500 0.500
Ac: 0.500 0.000 0.500
Ba: 0.000 0.000 0.000
S: 0.000 0.500 0.000
S: 0.000 0.000 0.500
S: 0.500 0.000 0.000
S: 0.500 0.500 0.500

Computed properties:
DFT total energy   -5.843 eV/atom
Crystal system   cubic

---

Record 3
Er4TmSc8 | PBE-GGA | optimized geometry

Unit cell a=7.334 b=7.334 c=7.334 alpha=90.10 beta=90.10 gamma=90.10
Sites, in units of the cell vectors:
Sc: 0.240 0.240 0.758
Sc: 0.758 0.240 0.240
Sc: 0.760 0.760 0.242
Sc: 0.242 0.760 0.760
Sc: 0.240 0.758 0.240
Sc: 0.759 0.759 0.759
Sc: 0.760 0.242 0.760
Sc: 0.241 0.241 0.241
Er: 0.500 0.000 0.500
Er: 0.000 0.500 0.500
Er: 0.500 0.500 0.000
Er: 0.000 0.000 0.000
Tm: 0.500 0.500 0.500

Computed properties:
Formation enthalpy at 0 K   591 meV/atom
Crystal system   trigonal

---

Record 4
MgSiTe2 | PBE-GGA | optimized geometry

Unit cell a=6.365 b=6.365 c=8.287 alpha=67.42 beta=67.42 gamma=90.00
Sites, in units of the cell vectors:
Te: 0.375 0.375 0.750
Te: 0.125 0.625 0.250
Te: 0.875 0.875 0.750
Te: 0.625 0.125 0.250
Si: 0.000 0.000 0.000
Si: 0.750 0.250 0.500
Mg: 0.250 0.750 0.500
Mg: 0.500 0.500 0.000

Computed properties:
DFT total energy   -3.426 eV/atom
Crystal system   tetragonal

---

Record 5
Pr3SnSb2Rh9 | PBE-GGA | optimized geometry

Unit cell a=6.654 b=6.654 c=9.297 alpha=90.00 beta=90.00 gamma=120.00
Sites, in units of the cell vectors:
Rh: 0.869 0.737 0.735
Rh: 0.737 0.869 0.265
Rh: 0.500 0.000 0.000
Rh: 0.131 0.263 0.265
Rh: 0.000 0.500 0.000
Rh: 0.263 0.131 0.735
Rh: 0.500 0.500 0.000
Rh: 0.869 0.131 0.735
Rh: 0.131 0.869 0.265
Sn: 0.000 0.000 0.500
Pr: 0.333 0.667 0.748
Pr: 0.000 0.000 0.000
Pr: 0.667 0.333 0.252
Sb: 0.667 0.333 0.813
Sb: 0.333 0.667 0.187

Computed properties:
DFT total energy   -6.439 eV/atom
Crystal system   trigonal

---

Record 6
Pr2Zn2HRh2 | PBE-GGA | optimized geometry

Unit cell a=4.223 b=5.899 c=5.997 alpha=76.74 beta=69.38 gamma=69.02
Sites, in units of the cell vectors:
Zn: 0.848 0.609 0.695
Zn: 0.152 0.391 0.305
H: 0.000 0.000 0.000
Rh: 0.808 0.298 0.087
Rh: 0.192 0.702 0.913
Pr: 0.551 0.179 0.718
Pr: 0.449 0.821 0.282

Computed properties:
DFT total energy   -4.815 eV/atom
Crystal system   monoclinic

---

Record 7
LaCe3Dy2As6 | PBE-GGA | optimized geometry

Unit cell a=7.299 b=7.299 c=7.292 alpha=99.62 beta=99.62 gamma=120.00
Last column: magnetic moment on the atom in μB.
Sites, in units of the cell vectors:
As: 0.258 0.258 0.751  -0.02
As: 0.084 0.425 0.251  -0.02
As: 0.742 0.742 0.249  -0.02
As: 0.916 0.575 0.749  -0.02
As: 0.575 0.916 0.749  -0.02
As: 0.425 0.084 0.251  -0.02
Dy: 0.333 0.667 0.000  0.01
Dy: 0.667 0.333 0.000  0.01
La: 0.000 0.000 0.000  0.01
Ce: 0.835 0.165 0.500  0.60
Ce: 0.500 0.500 0.500  0.60
Ce: 0.165 0.835 0.500  0.60

Computed properties:
Formation enthalpy at 0 K   -1479 meV/atom
Crystal system   monoclinic

---

Record 8
CaMgW2 | PBE-GGA | optimized geometry

Unit cell a=5.096 b=2.760 c=5.524 alpha=77.71 beta=90.00 gamma=90.00
Sites, in units of the cell vectors:
Mg: 0.500 0.750 0.750
Ca: 0.500 0.250 0.250
W: 0.000 0.537 0.499
W: 0.000 0.963 0.001

Computed properties:
Formation enthalpy at 0 K   753 meV/atom
Crystal system   monoclinic

---

Record 9
MgTl5Sn4 | PBE-GGA | optimized geometry

Unit cell a=4.448 b=7.927 c=9.074 alpha=82.72 beta=104.19 gamma=90.00
Sites, in units of the cell vectors:
Sn: 0.677 0.048 0.354
Sn: 0.323 0.952 0.646
Sn: 0.068 0.201 0.136
Sn: 0.932 0.799 0.864
Tl: 0.500 0.500 0.000
Tl: 0.120 0.755 0.239
Tl: 0.880 0.245 0.761
Tl: 0.227 0.352 0.455
Tl: 0.773 0.648 0.545
Mg: 0.500 0.000 0.000

Computed properties:
Formation enthalpy at 0 K   14 meV/atom
Crystal system   monoclinic

---

Record 10
K3Na4Tl | PBE-GGA | optimized geometry

Unit cell a=4.359 b=4.359 c=19.126 alpha=90.00 beta=90.00 gamma=90.00
Sites, in units of the cell vectors:
Na: 0.000 0.000 0.642
Na: 0.000 0.000 0.358
Na: 0.000 0.000 0.917
Na: 0.000 0.000 0.083
K: 0.500 0.500 0.217
K: 0.500 0.500 0.783
K: 0.500 0.500 0.500
Tl: 0.500 0.500 0.000

Computed properties:
Formation enthalpy at 0 K   -8 meV/atom
Crystal system   tetragonal

---

Record 11
AcPr2Y5Tm | PBE-GGA | optimized geometry

Unit cell a=8.875 b=8.875 c=10.077 alpha=116.13 beta=116.13 gamma=90.00
Sites, in units of the cell vectors:
Y: 0.573 0.659 0.731
Y: 0.000 0.000 0.000
Y: 0.659 0.159 0.731
Y: 0.341 0.841 0.269
Y: 0.159 0.073 0.731
Y: 0.427 0.341 0.269
Y: 0.500 0.500 0.000
Y: 0.927 0.427 0.269
Y: 0.841 0.927 0.269
Y: 0.073 0.573 0.731
Ac: 0.750 0.750 0.500
Ac: 0.250 0.250 0.500
Pr: 0.117 0.383 0.000
Pr: 0.383 0.883 0.000
Pr: 0.617 0.117 0.000
Pr: 0.883 0.617 0.000
Tm: 0.750 0.250 0.500
Tm: 0.250 0.750 0.500

Computed properties:
Formation enthalpy at 0 K   247 meV/atom
Crystal system   tetragonal

---

Record 12
Rb3PdCl6 | PBE-GGA | optimized geometry

Unit cell a=7.534 b=8.132 c=10.725 alpha=90.00 beta=89.80 gamma=90.00
Last column: magnetic moment on the atom in μB.
Sites, in units of the cell vectors:
Cl: 0.902 0.963 0.208  0.02
Cl: 0.098 0.037 0.792  0.02
Cl: 0.831 0.728 0.936  0.15
Cl: 0.758 0.659 0.541  0.02
Cl: 0.242 0.341 0.459  0.02
Cl: 0.402 0.537 0.708  0.02
Cl: 0.169 0.272 0.064  0.15
Cl: 0.258 0.841 0.041  0.02
Cl: 0.669 0.228 0.564  0.15
Cl: 0.331 0.772 0.436  0.15
Cl: 0.742 0.159 0.959  0.02
Cl: 0.598 0.463 0.292  0.02
Rb: 0.974 0.427 0.752  0.00
Rb: 0.026 0.573 0.248  0.00
Rb: 0.000 0.000 0.500  0.01
Rb: 0.500 0.500 0.000  0.01
Rb: 0.526 0.927 0.748  0.00
Rb: 0.474 0.073 0.252  0.00
Pd: 0.500 0.500 0.500  0.51
Pd: 0.000 0.000 0.000  0.51

Computed properties:
DFT total energy   -3.248 eV/atom
Crystal system   monoclinic

---

Record 13
Cu2H2CO5 | PBE-GGA | optimized geometry

Unit cell a=11.942 b=3.345 c=11.117 alpha=63.52 beta=90.00 gamma=90.00
Last column: magnetic moment on the atom in μB.
Sites, in units of the cell vectors:
C: 0.878 0.465 0.749  0.00
C: 0.378 0.535 0.751  0.00
C: 0.622 0.465 0.249  0.00
C: 0.122 0.535 0.251  0.00
O: 0.607 0.185 0.373  0.09
O: 0.604 0.107 0.635  0.19
O: 0.396 0.893 0.365  0.19
O: 0.458 0.433 0.838  0.10
O: 0.340 0.063 0.073  0.16
O: 0.840 0.937 0.427  0.16
O: 0.896 0.107 0.135  0.19
O: 0.219 0.340 0.291  0.14
O: 0.104 0.893 0.865  0.19
O: 0.160 0.063 0.573  0.16
O: 0.107 0.815 0.127  0.09
O: 0.781 0.660 0.709  0.14
O: 0.958 0.567 0.662  0.10
O: 0.893 0.185 0.873  0.09
O: 0.393 0.815 0.627  0.09
O: 0.660 0.937 0.927  0.16
O: 0.042 0.433 0.338  0.10
O: 0.719 0.660 0.209  0.14
O: 0.281 0.340 0.791  0.14
O: 0.542 0.567 0.162  0.10
Cu: 0.787 0.998 0.024  0.61
Cu: 0.287 0.002 0.476  0.61
Cu: 0.878 0.529 0.290  0.64
Cu: 0.378 0.471 0.210  0.64
Cu: 0.213 0.002 0.976  0.61
Cu: 0.122 0.471 0.710  0.64
Cu: 0.622 0.529 0.790  0.64
Cu: 0.713 0.998 0.524  0.61
H: 0.101 0.177 0.502  0.00
H: 0.974 0.097 0.105  0.00
H: 0.601 0.823 0.998  0.00
H: 0.526 0.097 0.605  0.00
H: 0.026 0.903 0.895  0.00
H: 0.399 0.177 0.002  0.00
H: 0.899 0.823 0.498  0.00
H: 0.474 0.903 0.395  0.00

Computed properties:
DFT total energy   -5.810 eV/atom
Crystal system   monoclinic

---

Record 14
BeTlRu2 | PBE-GGA | optimized geometry

Unit cell a=5.138 b=5.138 c=5.138 alpha=145.22 beta=129.36 gamma=62.90
Sites, in units of the cell vectors:
Ru: 0.975 0.975 0.000
Ru: 0.237 0.737 0.500
Be: 0.770 0.270 0.500
Tl: 0.519 0.519 0.000

Computed properties:
Formation enthalpy at 0 K   485 meV/atom
Crystal system   orthorhombic

---

Record 15
NpZnIn5 | PBE-GGA | optimized geometry

Unit cell a=4.846 b=4.846 c=7.402 alpha=90.00 beta=90.00 gamma=90.00
Last column: magnetic moment on the atom in μB.
Sites, in units of the cell vectors:
In: 0.500 0.000 0.708  0.01
In: 0.500 0.000 0.292  0.01
In: 0.000 0.500 0.292  0.01
In: 0.500 0.500 0.000  -0.01
In: 0.000 0.500 0.708  0.01
Zn: 0.000 0.000 0.500  -0.02
Np: 0.000 0.000 0.000  4.07

Computed properties:
Formation enthalpy at 0 K   30 meV/atom
Crystal system   tetragonal

---

Record 16
NdEr2Se3 | PBE-GGA | optimized geometry

Unit cell a=4.089 b=5.798 c=7.134 alpha=113.98 beta=106.65 gamma=90.00
Sites, in units of the cell vectors:
Se: 0.678 0.678 0.357
Se: 0.322 0.322 0.643
Se: 0.000 0.000 0.000
Er: 0.659 0.159 0.318
Er: 0.341 0.841 0.682
Nd: 0.000 0.500 0.000

Computed properties:
DFT total energy   -5.795 eV/atom
Crystal system   orthorhombic

---

Record 17
SmTm6In5 | PBE-GGA | optimized geometry

Unit cell a=4.940 b=8.700 c=8.991 alpha=118.93 beta=105.95 gamma=90.00
Sites, in units of the cell vectors:
Tm: 0.500 0.726 0.000
Tm: 0.170 0.434 0.339
Tm: 0.500 0.274 0.000
Tm: 0.170 0.905 0.339
Tm: 0.830 0.095 0.661
Tm: 0.830 0.566 0.661
In: 0.679 0.679 0.358
In: 0.321 0.321 0.642
In: 0.653 0.153 0.305
In: 0.000 0.500 0.000
In: 0.347 0.847 0.695
Sm: 0.000 0.000 0.000

Computed properties:
Formation enthalpy at 0 K   -359 meV/atom
Crystal system   orthorhombic

---

Record 18
TcTeN2F | PBE-GGA | optimized geometry

Unit cell a=3.781 b=3.781 c=5.585 alpha=90.00 beta=90.00 gamma=90.00
Sites, in units of the cell vectors:
Tc: 0.000 0.000 0.000
F: 0.500 0.500 0.500
N: 0.000 0.500 0.000
N: 0.500 0.000 0.000
Te: 0.000 0.000 0.500

Computed properties:
DFT total energy   -6.158 eV/atom
Crystal system   tetragonal

---

Record 19
La5TbAg | PBE-GGA | optimized geometry

Unit cell a=6.990 b=6.990 c=11.889 alpha=74.84 beta=74.84 gamma=57.90
Sites, in units of the cell vectors:
La: 0.289 0.409 0.558
La: 0.735 0.265 0.750
La: 0.683 0.847 0.660
La: 0.317 0.153 0.340
La: 0.409 0.289 0.058
La: 0.711 0.591 0.442
La: 0.591 0.711 0.942
La: 0.153 0.317 0.840
La: 0.265 0.735 0.250
La: 0.847 0.683 0.160
Tb: 0.209 0.791 0.750
Tb: 0.791 0.209 0.250
Ag: 0.000 0.000 0.000
Ag: 0.000 0.000 0.500

Computed properties:
Formation enthalpy at 0 K   86 meV/atom
Crystal system   monoclinic

---

Record 20
Sr2ThP2N6 | PBE-GGA | optimized geometry

Unit cell a=5.816 b=5.787 c=6.867 alpha=114.83 beta=90.00 gamma=120.17
Sites, in units of the cell vectors:
N: 0.276 0.084 0.794
N: 0.808 0.084 0.794
N: 0.192 0.916 0.206
N: 0.769 0.538 0.638
N: 0.724 0.916 0.206
N: 0.231 0.462 0.362
Sr: 0.702 0.405 0.163
Sr: 0.298 0.595 0.837
Th: 0.500 0.000 0.500
P: 0.948 0.897 0.746
P: 0.052 0.103 0.254

Computed properties:
DFT total energy   -7.516 eV/atom
Crystal system   monoclinic

---

| no. | density (g cm⁻³) |
| --- | --- |
| 1 | 3.677 |
| 2 | 6.734 |
| 3 | 5.041 |
| 4 | 3.624 |
| 5 | 7.970 |
| 6 | 7.934 |
| 7 | 6.984 |
| 8 | 9.452 |
| 9 | 8.213 |
| 10 | 1.890 |
| 11 | 6.002 |
| 12 | 2.909 |
| 13 | 3.695 |
| 14 | 11.665 |
| 15 | 8.374 |
| 16 | 8.099 |
| 17 | 8.988 |
| 18 | 5.670 |
| 19 | 6.799 |
| 20 | 5.260 |